(1)
! NpAlTl2O6, relaxed, DFT PBE-GGA; values from VASP
! V = 13.4 Å³ per atom
! E_form (uncorrected) = -1985.2 meV per atom
! N(E_F) = 0.52 states/eV per atom
! Calculated density = 9.5 Mg/m³
&SYSTEM
  ibrav = 0, nat = 20, ntyp = 4
/
ATOMIC_SPECIES
O 16.00 O.upf
Tl 204.38 Tl.upf
Al 26.98 Al.upf
Np 237.00 Np.upf
CELL_PARAMETERS angstrom
5.741 0.000 0.000
0.000 5.741 0.000
0.000 0.000 8.121
ATOMIC_POSITIONS angstrom
O 4.267 0.040 0.000
O 1.396 2.909 4.060
O 2.871 1.435 1.973
O 4.267 2.832 0.000
O 1.396 5.701 4.060
O 1.475 0.040 0.000
O 2.871 1.435 6.148
O 1.475 2.832 0.000
O 4.346 2.909 4.060
O 4.345 5.701 4.060
O 0.000 4.306 6.034
O 0.000 4.306 2.087
Tl 0.000 1.436 2.030
Tl 0.000 1.436 6.091
Tl 2.871 4.306 2.030
Tl 2.871 4.306 6.091
Al 0.000 4.306 4.060
Al 2.871 1.436 0.000
Np 2.871 1.435 4.060
Np 0.000 4.307 0.000

(2)
! Np3AlTl2O12, relaxed, DFT PBE-GGA; values from VASP
! V = 17.0 Å³ per atom
! E_form (uncorrected) = -2400.9 meV per atom
! N(E_F) = 0.57 states/eV per atom
! Calculated density = 7.3 Mg/m³
&SYSTEM
  ibrav = 0, nat = 18, ntyp = 4
/
ATOMIC_SPECIES
Np 237.00 Np.upf
O 16.00 O.upf
Tl 204.38 Tl.upf
Al 26.98 Al.upf
CELL_PARAMETERS angstrom
7.314 -0.272 -0.193
3.375 6.494 -0.193
3.375 1.965 6.193
ATOMIC_POSITIONS angstrom
Np 1.688 3.247 -0.097
Np 1.688 0.982 3.097
Np 3.657 -0.136 -0.097
O 6.658 6.640 1.780
O 11.103 3.518 5.615
O 11.103 6.463 1.463
O 2.962 4.669 0.191
O 8.542 7.917 5.615
O 7.407 1.546 4.027
O 7.407 4.311 0.128
O 6.658 3.875 5.678
O 5.003 5.677 4.027
O 9.062 2.510 1.780
O 2.962 1.724 4.343
O 5.523 0.270 0.191
Tl 5.286 3.077 2.182
Tl 8.779 5.110 3.624
Al 0.000 0.000 0.000

(3)
! TmNpAl2O8, relaxed, DFT PBE-GGA; values from VASP
! V = 12.4 Å³ per atom
! E_form (uncorrected) = -2797.6 meV per atom
! Calculated density = 6.6 Mg/m³
&SYSTEM
  ibrav = 0, nat = 12, ntyp = 4
/
ATOMIC_SPECIES
O 16.00 O.upf
Al 26.98 Al.upf
Np 237.00 Np.upf
Tm 168.93 Tm.upf
CELL_PARAMETERS angstrom
5.783 0.173 0.000
-2.409 5.260 0.000
-1.687 -2.716 4.821
ATOMIC_POSITIONS angstrom
O 2.970 -1.435 3.280
O 3.104 3.210 0.944
O 1.492 -0.518 1.541
O 0.186 -1.490 3.877
O 0.269 2.223 0.944
O -0.186 1.490 3.877
O 4.290 0.691 1.541
O 2.813 1.609 3.280
Al 1.687 2.716 0.000
Al 2.891 0.087 2.411
Np -1.205 2.630 2.411
Tm 0.000 0.000 0.000

(4)
! NpUAlO6, relaxed, DFT PBE-GGA; values from VASP
! V = 13.3 Å³ per atom
! E_form (uncorrected) = -2985.6 meV per atom
! N(E_F) = 1.03 states/eV per atom
! Calculated density = 8.3 Mg/m³
&SYSTEM
  ibrav = 0, nat = 18, ntyp = 4
/
ATOMIC_SPECIES
Np 237.00 Np.upf
O 16.00 O.upf
Al 26.98 Al.upf
U 238.03 U.upf
CELL_PARAMETERS angstrom
-4.403 -1.159 -2.753
4.721 0.101 -2.452
1.242 -9.467 1.999
ATOMIC_POSITIONS angstrom
Np 0.000 0.000 0.000
Np 0.621 -4.734 1.000
O -1.725 -8.923 -0.176
O 2.234 -4.061 -3.413
O 1.053 -8.543 -0.099
O -0.674 -6.463 0.208
O -0.204 -9.217 -2.515
O 3.464 -3.387 -0.984
O -1.904 -7.138 -2.221
O 0.507 -1.982 -3.106
O 0.688 -3.774 -1.091
O 0.872 -6.751 -2.115
O 1.763 -1.307 -0.691
O 3.285 -1.602 -3.029
Al -0.431 -7.839 -1.153
Al 1.990 -2.686 -2.052
U 2.611 -7.419 -1.053
U -1.051 -3.106 -2.153